Below is a relaxed Hf4OsN2 crystal, with properties calculated at the PBE level.

Fermi-level density of states = 2.1 states/eV/f.u.
formation energy (no corrections) = -1.2085 eV/atom

a b c (Å): 3.2696 5.8121 11.6871
angles (deg): 90.00 90.00 106.34
Last column: nearest neighbours and their distance in Å.
Atoms (fractional coordinates):
Hf  0.7694  0.5389  0.1079  3 N 2.22-2.31
Hf  0.7694  0.5389  0.3921  3 N 2.22-2.31
Hf  0.2306  0.4611  0.8921  3 N 2.22-2.31
Hf  0.2306  0.4611  0.6079  3 N 2.22-2.31
Hf  0.9219  0.8438  0.7500  2 N 2.33
Hf  0.0781  0.1562  0.2500  2 N 2.33
Hf  0.5000  0.0000  0.0000  4 N 2.31
Hf  0.5000  0.0000  0.5000  4 N 2.31
Os  0.6071  0.2143  0.7500  6 Hf 2.63-2.71
Os  0.3929  0.7857  0.2500  6 Hf 2.63-2.71
N  0.1331  0.2662  0.4422  6 Hf 2.22-2.33
N  0.8669  0.7338  0.9422  6 Hf 2.22-2.33
N  0.1331  0.2662  0.0578  6 Hf 2.22-2.33
N  0.8669  0.7338  0.5578  6 Hf 2.22-2.33